# Li2YAg2

A relaxed structure of Li2YAg2 (GGA-PBEsol, the Alexandria database).

## Properties
As for the energy relative to the lowest polymorph listed for this composition: 28 meV/atom. The density of states at the Fermi level comes out at 6.261 states/eV/cell. As for the calculated volume: 18.1 Å³ per atom. The density is 5.9 Mg/m³. The uncorrected energy is -3.632 eV per atom. Its symmetry is No. 127.

Cell: 3.079 7.658 7.658 Å, 90.00 90.00 90.00°
Fractional coordinates of all 10 atoms:
Ag  0.500  0.316  0.184
Ag  0.500  0.816  0.316
Ag  0.500  0.184  0.684
Ag  0.500  0.684  0.816
Li  0.000  0.886  0.614
Li  0.000  0.114  0.386
Li  0.000  0.614  0.114
Li  0.000  0.386  0.886
Y  0.000  0.000  0.000
Y  0.000  0.500  0.500


# ReSi2W

A relaxed structure of ReSi2W (GGA-PBEsol, the Alexandria database).

## Properties
As for the energy relative to the lowest polymorph listed for this composition: 0 meV/atom. The density of states at the Fermi level comes out at 1.249 states/eV/cell. As for the calculated volume: 13.5 Å³ per atom. The density is 13.1 Mg/m³. The uncorrected energy is -10.030 eV per atom. Its formation energy from raw total energies is -372 meV per atom. Its symmetry is No. 99.

Cell: 3.116 3.116 5.580 Å, 90.00 90.00 90.00°
Fractional coordinates of all 4 atoms:
Si  0.500  0.500  0.247
Si  0.000  0.000  0.999
W  0.000  0.000  0.468
Re  0.500  0.500  0.786


# Fe3SiS

A relaxed structure of Fe3SiS (GGA-PBEsol, the Alexandria database).

## Properties
The density of states at the Fermi level comes out at 3.941 states/eV/cell. As for the calculated volume: 13.5 Å³ per atom. The density is 5.6 Mg/m³. The uncorrected energy is -7.106 eV per atom. Its formation energy from raw total energies is 299 meV per atom. Its symmetry is No. 221.

Cell: 4.071 4.071 4.071 Å, 90.00 90.00 90.00°
Fractional coordinates of all 5 atoms:
Si  0.500  0.500  0.500
Fe  0.000  0.000  0.500
Fe  0.500  0.000  0.000
Fe  0.000  0.500  0.000
S  0.000  0.000  0.000